No. 1
La3HfHg after structural relaxation. Source: the Alexandria database, functional PBE.

energy relative to the elements	0.449	eV/atom
relative energy among the computed polymorphs	0.000	eV per atom
magnetic moment	0.0000	μB per atom
crystal system	cubic

```
data_La3HfHg
_cell_length_a 5.746
_cell_length_b 5.746
_cell_length_c 5.746
_cell_angle_alpha 90.00
_cell_angle_beta 90.00
_cell_angle_gamma 90.00
_symmetry_space_group_name_H-M 'P m -3 m'
_symmetry_Int_Tables_number 221
_symmetry_space_group_name_Hall '-P 4 2 3'
loop_
_atom_site_label
_atom_site_type_symbol
_atom_site_fract_x
_atom_site_fract_y
_atom_site_fract_z
_atom_site_occupancy
La1 La 0.000 0.000 0.500 1
Hf1 Hf 0.000 0.000 0.000 1
Hg1 Hg 0.500 0.500 0.500 1
```

***

No. 2
La3HfHg after structural relaxation. Source: the Alexandria database, functional PBE.

energy relative to the elements	0.709	eV/atom
relative energy among the computed polymorphs	0.260	eV per atom
magnetic moment	0.3630	μB per atom
crystal system	cubic

```
data_La3HfHg
_cell_length_a 5.870
_cell_length_b 5.870
_cell_length_c 5.870
_cell_angle_alpha 90.00
_cell_angle_beta 90.00
_cell_angle_gamma 90.00
_symmetry_space_group_name_H-M 'P m -3 m'
_symmetry_Int_Tables_number 221
_symmetry_space_group_name_Hall '-P 4 2 3'
loop_
_atom_site_label
_atom_site_type_symbol
_atom_site_fract_x
_atom_site_fract_y
_atom_site_fract_z
_atom_site_occupancy
La1 La 0.000 0.000 0.500 1
Hf1 Hf 0.500 0.500 0.500 1
Hg1 Hg 0.000 0.000 0.000 1
```

***

No. 3
La2HfHg after structural relaxation. Source: the Alexandria database, functional PBE.

energy relative to the elements	0.249	eV/atom
magnetic moment	0.1055	μB per atom
crystal system	trigonal

```
data_La2HfHg
_cell_length_a 3.3298
_cell_length_b 3.3298
_cell_length_c 35.5596
_cell_angle_alpha 90.00
_cell_angle_beta 90.00
_cell_angle_gamma 120.00
_symmetry_space_group_name_H-M 'R -3 m'
_symmetry_Int_Tables_number 166
_symmetry_space_group_name_Hall '-R 3 2"'
loop_
_atom_site_label
_atom_site_type_symbol
_atom_site_fract_x
_atom_site_fract_y
_atom_site_fract_z
_atom_site_occupancy
La1 La 0.0000 0.0000 0.0866 1
Hf1 Hf 0.0000 0.0000 0.0000 1
Hg1 Hg 0.0000 0.0000 0.5000 1
```

***

No. 4
LaHf3Hg after structural relaxation. Source: the Alexandria database, functional PBE.

energy relative to the elements	1.522	eV/atom
relative energy among the computed polymorphs	0.624	eV per atom
magnetic moment	0.0001	μB per atom
crystal system	cubic

```
data_LaHf3Hg
_cell_length_a 5.162
_cell_length_b 5.162
_cell_length_c 5.162
_cell_angle_alpha 90.00
_cell_angle_beta 90.00
_cell_angle_gamma 90.00
_symmetry_space_group_name_H-M 'P m -3 m'
_symmetry_Int_Tables_number 221
_symmetry_space_group_name_Hall '-P 4 2 3'
loop_
_atom_site_label
_atom_site_type_symbol
_atom_site_fract_x
_atom_site_fract_y
_atom_site_fract_z
_atom_site_occupancy
La1 La 0.000 0.000 0.000 1
Hf1 Hf 0.000 0.000 0.500 1
Hg1 Hg 0.500 0.500 0.500 1
```

***

What did the fourth record say?
LaHf3Hg after structural relaxation. Source: the Alexandria database, functional PBE.

energy relative to the elements	1.522	eV/atom
relative energy among the computed polymorphs	0.624	eV per atom
magnetic moment	0.0001	μB per atom
crystal system	cubic

```
data_LaHf3Hg
_cell_length_a 5.162
_cell_length_b 5.162
_cell_length_c 5.162
_cell_angle_alpha 90.00
_cell_angle_beta 90.00
_cell_angle_gamma 90.00
_symmetry_space_group_name_H-M 'P m -3 m'
_symmetry_Int_Tables_number 221
_symmetry_space_group_name_Hall '-P 4 2 3'
loop_
_atom_site_label
_atom_site_type_symbol
_atom_site_fract_x
_atom_site_fract_y
_atom_site_fract_z
_atom_site_occupancy
La1 La 0.000 0.000 0.000 1
Hf1 Hf 0.000 0.000 0.500 1
Hg1 Hg 0.500 0.500 0.500 1
```

***

> Which formula does entry 4 have?

LaHf3Hg

***

Copy entry 4 word for word.
LaHf3Hg after structural relaxation. Source: the Alexandria database, functional PBE.

energy relative to the elements	1.522	eV/atom
relative energy among the computed polymorphs	0.624	eV per atom
magnetic moment	0.0001	μB per atom
crystal system	cubic

```
data_LaHf3Hg
_cell_length_a 5.162
_cell_length_b 5.162
_cell_length_c 5.162
_cell_angle_alpha 90.00
_cell_angle_beta 90.00
_cell_angle_gamma 90.00
_symmetry_space_group_name_H-M 'P m -3 m'
_symmetry_Int_Tables_number 221
_symmetry_space_group_name_Hall '-P 4 2 3'
loop_
_atom_site_label
_atom_site_type_symbol
_atom_site_fract_x
_atom_site_fract_y
_atom_site_fract_z
_atom_site_occupancy
La1 La 0.000 0.000 0.000 1
Hf1 Hf 0.000 0.000 0.500 1
Hg1 Hg 0.500 0.500 0.500 1
```